Entry from Alexandria: Y2TaW after structural relaxation (PBE).

Results
Distance to the lowest polymorph of the same formula = 122 meV/atom
Space-group type = Imm2 (44)
E_form = 0.34 eV/atom

Cell lengths 6.0168, 6.0168, 6.0168 Å; angles 145.62, 129.20, 62.78 degrees
With the nearest neighbours (Å) after each atom.
Fractional positions:
Y: 0.0000 0.0000 0.0000  4 W 3.16, 4 Y 3.37-3.44, 4 Ta 3.41
Y: 0.7214 0.2214 0.5000  4 Ta 3.20, 4 W 3.20-3.57, 6 Y 3.37-3.56
Ta: 0.2832 0.7832 0.5000  2 W 2.56
W: 0.4622 0.4622 0.0000  2 Ta 2.56

=====

Entry from Alexandria: LiCaRh2C after structural relaxation (PBE).

Results
Distance to the lowest polymorph of the same formula = 1138 meV/atom
Space-group type = P4/mmm (123)
E_form = 0.86 eV/atom

Cell lengths 4.3167, 4.3167, 3.8441 Å; angles 90.00, 90.00, 90.00 degrees
With the nearest neighbours (Å) after each atom.
Fractional positions:
Li: 0.0000 0.0000 0.0000  2 C 1.92
Ca: 0.5000 0.5000 0.5000  8 Rh 2.89, 4 C 3.05
Rh: 0.0000 0.5000 0.0000  2 Li 2.16
Rh: 0.5000 0.0000 0.0000  2 Li 2.16
C: 0.0000 0.0000 0.5000  2 Li 1.92

=====

Entry from Alexandria: Be2Zn2F after structural relaxation (PBE).

Results
Distance to the lowest polymorph of the same formula = 426 meV/atom
Space-group type = I4/mmm (139)
Raw formation energy = 0.2588 eV per atom

Cell lengths 6.1357, 6.1357, 6.1357 Å; angles 146.06, 146.06, 48.76 degrees
With the nearest neighbours (Å) after each atom.
Fractional positions:
Be: 0.0948 0.0948 0.0000  1 Be 2.12
Be: 0.9052 0.9052 0.0000  1 Be 2.12
Zn: 0.2500 0.7500 0.5000  4 Be 2.49, 4 Zn 2.53
Zn: 0.7500 0.2500 0.5000  4 Be 2.49, 4 Zn 2.53
F: 0.5000 0.5000 0.0000  8 Be 2.75

=====

Entry from Alexandria: Li3AlIn after structural relaxation (PBE).

Results
Distance to the lowest polymorph of the same formula = 84 meV/atom
Space-group type = P2_1/m (11)
E_form = -0.14 eV/atom

Cell lengths 4.5845, 5.6661, 7.3908 Å; angles 90.00, 107.43, 90.00 degrees
With the nearest neighbours (Å) after each atom.
Fractional positions:
Li: 0.1116 0.0029 0.2149  5 Li 2.80-3.03, 2 Al 2.80-3.12, 2 In 2.91-2.93
Li: 0.1116 0.4971 0.2149  5 Li 2.80-3.03, 2 Al 2.80-3.12, 2 In 2.91-2.93
Li: 0.3241 0.2500 0.6465  4 Al 2.70-2.90, 4 Li 2.87-2.88, 1 In 2.87
Li: 0.6759 0.7500 0.3535  4 Al 2.70-2.90, 4 Li 2.87-2.88, 1 In 2.87
Li: 0.8884 0.5029 0.7851  5 Li 2.80-3.03, 2 Al 2.80-3.12, 2 In 2.91-2.93
Li: 0.8884 0.9971 0.7851  5 Li 2.80-3.03, 2 Al 2.80-3.12, 2 In 2.91-2.93
Al: 0.2733 0.7500 0.5567  6 Li 2.70-2.90, 1 In 2.75
Al: 0.7267 0.2500 0.4433  6 Li 2.70-2.90, 1 In 2.75
In: 0.4642 0.7500 0.9467  1 Al 2.75, 5 Li 2.87-2.93, 2 In 2.93
In: 0.5358 0.2500 0.0533  1 Al 2.75, 5 Li 2.87-2.93, 2 In 2.93

=====

Entry from Alexandria: KLaCu2 after structural relaxation (PBE).

Results
Distance to the lowest polymorph of the same formula = 350 meV/atom
Space-group type = I-4m2 (119)
E_form = 0.43 eV/atom

Cell lengths 6.1009, 6.1009, 6.1009 Å; angles 137.91, 137.91, 61.04 degrees
With the nearest neighbours (Å) after each atom.
Fractional positions:
K: 0.0000 0.0000 0.0000  8 Cu 3.10-3.42, 4 La 3.42
La: 0.2500 0.7500 0.5000  8 Cu 3.10-3.42, 4 K 3.42
Cu: 0.5000 0.5000 0.0000  4 K 3.10, 4 Cu 3.42, 4 La 3.42
Cu: 0.7500 0.2500 0.5000  4 La 3.10, 4 Cu 3.42, 4 K 3.42

=====

Entry from Alexandria: RbHf2F8 after structural relaxation (PBE).

Results
Space-group type = C2/m (12)
Raw formation energy = -3.4547 eV per atom

Cell lengths 6.1752, 6.1752, 4.2068 Å; angles 94.90, 94.90, 113.95 degrees
With the nearest neighbours (Å) after each atom.
Fractional positions:
Rb: 0.0000 0.0000 0.0000  12 F 2.81-2.93
Hf: 0.3224 0.6776 0.5000  8 F 2.16-2.20
Hf: 0.6776 0.3224 0.5000  8 F 2.16-2.20
F: 0.0415 0.3374 0.5608  2 Hf 2.17-2.20, 1 F 2.35
F: 0.2764 0.7236 0.0000  2 Hf 2.16
F: 0.3374 0.0415 0.5608  2 Hf 2.17-2.20, 1 F 2.35
F: 0.4139 0.4139 0.2444  2 Hf 2.16, 1 F 2.28
F: 0.5861 0.5861 0.7556  2 Hf 2.16, 1 F 2.28
F: 0.6626 0.9585 0.4392  2 Hf 2.17-2.20, 1 F 2.35
F: 0.7236 0.2764 0.0000  2 Hf 2.16
F: 0.9585 0.6626 0.4392  2 Hf 2.17-2.20, 1 F 2.35

=====

Entry from Alexandria: Cs7Ag3O2 after structural relaxation (PBE).

Results
Space-group type = P2/m (10)
Raw formation energy = -0.4523 eV per atom

Cell lengths 6.0698, 5.9399, 14.5251 Å; angles 90.00, 100.31, 90.00 degrees
With the nearest neighbours (Å) after each atom.
Fractional positions:
Cs: 0.0000 0.0000 0.0000  2 O 3.01
Cs: 0.0794 0.5000 0.2131  2 O 2.97
Cs: 0.1845 0.0000 0.3999  1 O 2.71
Cs: 0.4134 0.0000 0.7940  2 O 3.00-3.07
Cs: 0.5866 0.0000 0.2060  2 O 3.00-3.07
Cs: 0.8155 0.0000 0.6001  1 O 2.71
Cs: 0.9206 0.5000 0.7869  2 O 2.97
Ag: 0.3676 0.5000 0.5790  1 Ag 3.03
Ag: 0.5000 0.5000 0.0000  12 Cs 4.18-4.35
Ag: 0.6324 0.5000 0.4210  1 Ag 3.03
O: 0.0938 0.0000 0.2103  5 Cs 2.71-3.01
O: 0.9062 0.0000 0.7897  5 Cs 2.71-3.01

=====

Entry from Alexandria: CaLaCo after structural relaxation (PBE).

Results
Distance to the lowest polymorph of the same formula = 0 meV/atom
Space-group type = C2/c (15)
E_form = -0.04 eV/atom

Cell lengths 11.3056, 11.3056, 3.9708 Å; angles 90.02, 90.02, 159.74 degrees
With the nearest neighbours (Å) after each atom.
Fractional positions:
Ca: 0.1905 0.8095 0.7500  1 Co 3.58, 8 Ca 3.86-3.98, 4 La 3.87
Ca: 0.8095 0.1905 0.2500  1 Co 3.58, 8 Ca 3.86-3.98, 4 La 3.87
La: 0.4292 0.5708 0.7500  6 Co 2.95-2.99
La: 0.5708 0.4292 0.2500  6 Co 2.95-2.99
Co: 0.0295 0.9705 0.7500  2 Co 2.38
Co: 0.9705 0.0295 0.2500  2 Co 2.38